Entry 1:
Here is a PBEsol-optimized structure of CaCdHg2 from Alexandria via LeMat-Bulk. Energies are from SCAN.

## Properties
For the formation enthalpy at 0 K, the calculation gives -0.43 eV per atom.

Unit cell a=3.5870 b=3.5870 c=7.2518 alpha=90.00 beta=90.00 gamma=90.00
With the nearest neighbours (Å) after each atom.
Space group P4/mmm (No. 123)
Inequivalent atoms, fractional coordinates:
Ca  0.0000  0.0000  0.0000 x1  8 Hg 3.18
Cd  0.0000  0.0000  0.5000 x1  8 Hg 3.05
Hg  0.5000  0.5000  0.2654 x2  4 Cd 3.05, 4 Ca 3.18, 1 Hg 3.40

Entry 2:
Here is a PBEsol-optimized structure of Zn2CdIrSe from Alexandria via LeMat-Bulk. Energies are from SCAN.

## Properties
The calculation puts the uncorrected formation energy at 1.15 eV/atom.

Unit cell a=4.5789 b=4.5789 c=5.0212 alpha=90.00 beta=90.00 gamma=90.00
With the nearest neighbours (Å) after each atom.
Space group P4/mmm (No. 123)
Inequivalent atoms, fractional coordinates:
Zn  0.0000  0.5000  0.0000 x2  2 Se 2.29
Cd  0.0000  0.0000  0.5000 x1  2 Se 2.51
Ir  0.5000  0.5000  0.5000 x1  4 Cd 3.24, 8 Zn 3.40
Se  0.0000  0.0000  0.0000 x1  4 Zn 2.29, 2 Cd 2.51

Entry 3:
Here is a PBEsol-optimized structure of CaMgSe2 from Alexandria via LeMat-Bulk. Energies are from SCAN.

## Properties
The calculation puts the uncorrected formation energy at -1.84 eV/atom.

Unit cell a=4.0094 b=4.0094 c=19.5954 alpha=90.00 beta=90.00 gamma=120.00
With the nearest neighbours (Å) after each atom.
Space group R-3m (No. 166, hexagonal axes)
Inequivalent atoms, fractional coordinates:
Ca  0.0000  0.0000  0.0000 x3  6 Se 2.91
Mg  0.0000  0.0000  0.5000 x3  6 Se 2.76
Se  0.0000  0.0000  0.2434 x6  3 Mg 2.76, 3 Ca 2.91

Entry 4:
Here is a PBEsol-optimized structure of BaGa2Pb2 from Alexandria via LeMat-Bulk. Energies are from SCAN.

## Properties
For the formation enthalpy at 0 K, the calculation gives -0.45 eV per atom.

Unit cell a=5.1086 b=5.1086 c=10.6895 alpha=90.00 beta=90.00 gamma=90.00
With the nearest neighbours (Å) after each atom.
Space group I4/mmm (No. 139)
Inequivalent atoms, fractional coordinates:
Ba  0.0000  0.0000  0.0000 x2  8 Pb 3.70, 10 Ga 3.82-4.09
Ga  0.0000  0.0000  0.3830 x4  1 Ga 2.50
Pb  0.0000  0.5000  0.2500 x4  4 Ga 2.92

Entry 5:
Here is a PBEsol-optimized structure of AsRhPb2 from Alexandria via LeMat-Bulk. Energies are from SCAN.

## Properties
For the formation enthalpy at 0 K, the calculation gives 0.19 eV per atom.

Unit cell a=3.7161 b=3.7161 c=22.1955 alpha=90.00 beta=90.00 gamma=120.00
With the nearest neighbours (Å) after each atom.
Space group R-3m (No. 166, hexagonal axes)
Inequivalent atoms, fractional coordinates:
As  0.0000  0.0000  0.0000 x3  6 Pb 2.92
Rh  0.0000  0.0000  0.5000 x3  6 Pb 2.75
Pb  0.0000  0.0000  0.2444 x6  3 Rh 2.75, 3 As 2.92

Entry 6:
Here is a PBEsol-optimized structure of ZrAsBr2N from Alexandria via LeMat-Bulk. Energies are from SCAN.

## Properties
The calculation puts the uncorrected formation energy at 0.34 eV/atom.

Unit cell a=5.2561 b=5.2561 c=5.2359 alpha=90.00 beta=90.00 gamma=90.00
With the nearest neighbours (Å) after each atom.
Space group P4/mmm (No. 123)
Inequivalent atoms, fractional coordinates:
Zr  0.0000  0.0000  0.0000 x1  2 As 2.62, 4 Br 2.63
As  0.0000  0.0000  0.5000 x1  2 Zr 2.62
Br  0.0000  0.5000  0.0000 x2  2 Zr 2.63
N  0.5000  0.5000  0.5000 x1  8 Br 3.71, 4 As 3.72